# 1
ZnAsRu: optimized geometry, PBE.

Output
Energy of formation = -0.079 eV per atom
Relative energy among the computed polymorphs = 66 meV/atom
Space group = I4mm (107)
Calculated volume = 46 Å³ per cell

a b c (Å): 5.045 5.045 5.045
angles (deg): 143.27 143.27 52.92
Element x y z (fractional)
Zn (0.000, 0.000, 0.000)
As (0.309, 0.309, 0.000)
Ru (0.680, 0.680, 0.000)


# 2
HfCu2Br: optimized geometry, PBE.

Output
Relative energy among the computed polymorphs = 0 meV/atom
Uncorrected formation energy = 223 meV per atom
Space group = I-42d (122)
Calculated volume = 145 Å³ per cell

a b c (Å): 5.875 5.875 5.875
angles (deg): 101.50 101.50 126.97
Element x y z (fractional)
Hf (0.000, 0.000, 0.000)
Hf (0.750, 0.250, 0.500)
Cu (0.131, 0.625, 0.006)
Cu (0.375, 0.381, 0.506)
Cu (0.619, 0.125, 0.994)
Cu (0.875, 0.869, 0.494)
Br (0.250, 0.750, 0.500)
Br (0.500, 0.500, 0.000)


# 3
Ba7TiN6: optimized geometry, PBE.

Output
Uncorrected formation energy = -629 meV per atom
Space group = Pbcn (60)
Calculated volume = 1306 Å³ per cell

a b c (Å): 12.627 7.078 14.606
angles (deg): 90.00 90.00 90.00
Element x y z (fractional)
Ba (0.000, 0.070, 0.250)
Ba (0.000, 0.930, 0.750)
Ba (0.035, 0.242, 0.519)
Ba (0.035, 0.758, 0.019)
Ba (0.213, 0.402, 0.126)
Ba (0.213, 0.598, 0.626)
Ba (0.227, 0.336, 0.873)
Ba (0.227, 0.664, 0.373)
Ba (0.273, 0.164, 0.373)
Ba (0.273, 0.836, 0.873)
Ba (0.287, 0.098, 0.626)
Ba (0.287, 0.902, 0.126)
Ba (0.465, 0.258, 0.019)
Ba (0.465, 0.742, 0.519)
Ba (0.500, 0.430, 0.750)
Ba (0.500, 0.570, 0.250)
Ba (0.535, 0.258, 0.481)
Ba (0.535, 0.742, 0.981)
Ba (0.713, 0.098, 0.874)
Ba (0.713, 0.902, 0.374)
Ba (0.727, 0.164, 0.127)
Ba (0.727, 0.836, 0.627)
Ba (0.773, 0.336, 0.627)
Ba (0.773, 0.664, 0.127)
Ba (0.787, 0.402, 0.374)
Ba (0.787, 0.598, 0.874)
Ba (0.965, 0.242, 0.981)
Ba (0.965, 0.758, 0.481)
Ti (0.000, 0.422, 0.750)
Ti (0.000, 0.578, 0.250)
Ti (0.500, 0.078, 0.250)
Ti (0.500, 0.922, 0.750)
N (0.052, 0.419, 0.351)
N (0.052, 0.581, 0.851)
N (0.117, 0.256, 0.710)
N (0.117, 0.744, 0.210)
N (0.163, 0.104, 0.002)
N (0.163, 0.896, 0.502)
N (0.337, 0.396, 0.502)
N (0.337, 0.604, 0.002)
N (0.383, 0.244, 0.210)
N (0.383, 0.756, 0.710)
N (0.448, 0.081, 0.851)
N (0.448, 0.919, 0.351)
N (0.552, 0.081, 0.649)
N (0.552, 0.919, 0.149)
N (0.617, 0.244, 0.290)
N (0.617, 0.756, 0.790)
N (0.663, 0.396, 0.998)
N (0.663, 0.604, 0.498)
N (0.837, 0.104, 0.498)
N (0.837, 0.896, 0.998)
N (0.883, 0.256, 0.790)
N (0.883, 0.744, 0.290)
N (0.948, 0.419, 0.149)
N (0.948, 0.581, 0.649)


# 4
MgZnInC2: optimized geometry, PBE.

Output
Energy of formation = 2.216 eV per atom
Space group = P4/mmm (123)
Calculated volume = 108 Å³ per cell

a b c (Å): 4.288 4.288 5.894
angles (deg): 90.00 90.00 90.00
Element x y z (fractional)
Mg (0.000, 0.000, 0.000)
Zn (0.500, 0.500, 0.000)
In (0.000, 0.000, 0.500)
C (0.000, 0.500, 0.500)
C (0.500, 0.000, 0.500)


# 5
CrGa4Ni7: optimized geometry, PBE.

Output
Energy of formation = -0.017 eV per atom
Space group = C2/m (12)
Calculated volume = 159 Å³ per cell

a b c (Å): 5.296 5.296 8.813
angles (deg): 118.15 118.15 48.55
Element x y z (fractional)
Cr (0.000, 0.000, 0.000)
Ga (0.265, 0.265, 0.676)
Ga (0.409, 0.409, 0.224)
Ga (0.591, 0.591, 0.776)
Ga (0.735, 0.735, 0.324)
Ni (0.062, 0.062, 0.346)
Ni (0.216, 0.216, 0.912)
Ni (0.359, 0.359, 0.468)
Ni (0.500, 0.500, 0.000)
Ni (0.641, 0.641, 0.532)
Ni (0.784, 0.784, 0.088)
Ni (0.938, 0.938, 0.654)


# 6
TaHg2P: optimized geometry, PBE.

Output
Energy of formation = 0.563 eV per atom
Space group = R-3m (166)
Calculated volume = 78 Å³ per cell

a b c (Å): 9.469 9.469 9.469
angles (deg): 18.95 18.95 18.95
Element x y z (fractional)
Ta (0.000, 0.000, 0.000)
Hg (0.248, 0.248, 0.248)
Hg (0.752, 0.752, 0.752)
P (0.500, 0.500, 0.500)


# 7
PdPt2Au: optimized geometry, PBE.

Output
Energy of formation = 0.025 eV per atom
Relative energy among the computed polymorphs = 15 meV/atom
Space group = P4/mmm (123)
Calculated volume = 65 Å³ per cell

a b c (Å): 2.812 2.812 8.162
angles (deg): 90.00 90.00 90.00
Element x y z (fractional)
Pd (0.000, 0.000, 0.000)
Pt (0.500, 0.500, 0.241)
Pt (0.500, 0.500, 0.759)
Au (0.000, 0.000, 0.500)


# 8
La2ErZn2: optimized geometry, PBE.

Output
Energy of formation = -0.216 eV per atom
Space group = Cmmm (65)
Calculated volume = 132 Å³ per cell

a b c (Å): 10.208 10.208 3.601
angles (deg): 90.00 90.00 159.37
Element x y z (fractional)
La (0.180, 0.820, 0.000)
La (0.820, 0.180, 0.000)
Er (0.000, 0.000, 0.000)
Zn (0.420, 0.580, 0.500)
Zn (0.580, 0.420, 0.500)


# 9
Rb2NbSbI: optimized geometry, PBE.

Output
Uncorrected formation energy = 877 meV per atom
Space group = P4/mmm (123)
Calculated volume = 265 Å³ per cell

a b c (Å): 6.582 6.582 6.127
angles (deg): 90.00 90.00 90.00
Element x y z (fractional)
Rb (0.000, 0.500, 0.000)
Rb (0.500, 0.000, 0.000)
Nb (0.000, 0.000, 0.500)
Sb (0.500, 0.500, 0.500)
I (0.500, 0.500, 0.000)


# 10
Ti7Ni2Rh2: optimized geometry, PBE.

Output
Energy of formation = -0.066 eV per atom
Space group = Cmmm (65)
Calculated volume = 187 Å³ per cell

a b c (Å): 5.602 5.602 6.209
angles (deg): 90.00 90.00 106.73
Element x y z (fractional)
Ti (0.000, 0.000, 0.000)
Ti (0.000, 0.500, 0.271)
Ti (0.000, 0.500, 0.729)
Ti (0.500, 0.000, 0.271)
Ti (0.500, 0.000, 0.729)
Ti (0.500, 0.500, 0.259)
Ti (0.500, 0.500, 0.741)
Ni (0.288, 0.712, 0.000)
Ni (0.712, 0.288, 0.000)
Rh (0.192, 0.192, 0.500)
Rh (0.808, 0.808, 0.500)


# 11
ReAuSe2: optimized geometry, PBE.

Output
Relative energy among the computed polymorphs = 263 meV/atom
Uncorrected formation energy = 376 meV per atom
Space group = I-42d (122)
Calculated volume = 194 Å³ per cell

a b c (Å): 7.071 7.071 7.071
angles (deg): 131.61 131.61 70.84
Element x y z (fractional)
Re (0.000, 0.000, 0.000)
Re (0.750, 0.250, 0.500)
Au (0.250, 0.750, 0.500)
Au (0.500, 0.500, 0.000)
Se (0.090, 0.625, 0.965)
Se (0.375, 0.340, 0.465)
Se (0.660, 0.125, 0.035)
Se (0.875, 0.910, 0.535)


# 12
AgMoAu: optimized geometry, PBE.

Output
Energy of formation = 0.468 eV per atom
Relative energy among the computed polymorphs = 161 meV/atom
Space group = Imm2 (44)
Calculated volume = 51 Å³ per cell

a b c (Å): 5.019 5.019 5.019
angles (deg): 148.17 129.47 60.97
Element x y z (fractional)
Ag (0.000, 0.000, 0.000)
Mo (0.333, 0.333, 0.000)
Au (0.672, 0.672, 0.000)